# 1
Material: CoSeCl4
Method: DFT, PBE
State: optimized geometry

Properties
formation energy without anion corrections = 1.12 eV per atom
space group = F-43m (216)

Geometry as POSCAR:
```
CoSeCl4
1.0
0.0000 4.1313 4.1313
4.1313 0.0000 4.1313
4.1313 4.1313 0.0000
Co Cl Se
1 4 1
Direct
0.7500 0.7500 0.7500
0.3760 0.3760 0.8721
0.8721 0.3760 0.3760
0.3760 0.8721 0.3760
0.3760 0.3760 0.3760
0.0000 0.0000 0.0000
```


# 2
Material: Co2SeCl
Method: DFT, PBE
State: optimized geometry

Properties
energy above the most stable polymorph in this dataset = 46.86 kJ/mol of atoms
formation energy without anion corrections = 0.35 eV per atom
space group = Cmmm (65)

Geometry as POSCAR:
```
Co2SeCl
1.0
3.4234 0.2002 0.0000
-1.7905 2.9247 0.0000
0.0000 0.0000 6.6703
Cl Co Se
1 2 1
Direct
0.5000 0.5000 0.7500
0.0000 0.0000 0.0293
0.0000 0.0000 0.4707
0.5000 0.5000 0.2500
```


# 3
Material: Co3SeCl
Method: DFT, PBE
State: optimized geometry

Properties
energy above the most stable polymorph in this dataset = 0.00 kJ/mol of atoms
formation energy without anion corrections = 0.68 eV per atom
space group = Pm-3m (221)

Geometry as POSCAR:
```
Co3SeCl
1.0
-1.7401 1.1786 4.0231
-3.9470 -1.9283 -1.1423
1.4125 -3.9363 1.7642
Co Cl Se
3 1 1
Direct
0.0000 0.0000 0.5000
0.5000 0.0000 0.0000
0.0000 0.5000 0.0000
0.5000 0.5000 0.5000
0.0000 0.0000 0.0000
```


# 4
Material: CoSe3Cl
Method: DFT, PBE
State: optimized geometry

Properties
energy above the most stable polymorph in this dataset = 143.75 kJ/mol of atoms
formation energy without anion corrections = 1.28 eV per atom
space group = Pm-3m (221)

Geometry as POSCAR:
```
CoSe3Cl
1.0
-0.3186 -4.8477 -0.8924
4.6339 -0.5994 1.6017
-1.6803 -0.7339 4.5865
Se Co Cl
3 1 1
Direct
0.5000 0.0000 0.0000
0.0000 0.5000 0.0000
0.0000 0.0000 0.5000
0.5000 0.5000 0.5000
0.0000 0.0000 0.0000
```


# 5
Material: Co2SeCl
Method: DFT, PBE
State: optimized geometry

Properties
energy above the most stable polymorph in this dataset = 23.76 kJ/mol of atoms
formation energy without anion corrections = 0.11 eV per atom
space group = R-3m (166)

Geometry as POSCAR:
```
Co2SeCl
1.0
6.0226 -0.4933 -0.2957
5.1494 3.1619 -0.2957
5.1494 1.2300 2.9278
Se Cl Co
1 1 2
Direct
0.2500 0.2500 0.2500
0.7500 0.7500 0.7500
0.9741 0.9741 0.9741
0.5259 0.5259 0.5259
```


# 6
Material: Co2SeCl
Method: DFT, PBE
State: optimized geometry

Properties
energy above the most stable polymorph in this dataset = 21.51 kJ/mol of atoms
formation energy without anion corrections = 0.09 eV per atom
space group = Imm2 (44)

Geometry as POSCAR:
```
Co2SeCl
1.0
-7.3599 2.6654 -2.1832
-7.3443 -1.6951 -3.0374
6.5977 -0.8228 4.6725
Se Co Cl
1 2 1
Direct
0.4944 0.4944 0.0000
0.9402 0.9402 0.0000
0.8181 0.3181 0.5000
0.2473 0.7473 0.5000
```


# 7
Material: Co2SeCl
Method: DFT, PBE
State: optimized geometry

Properties
energy above the most stable polymorph in this dataset = 15.06 kJ/mol of atoms
formation energy without anion corrections = 0.02 eV per atom
space group = I-42d (122)

Geometry as POSCAR:
```
Co2SeCl
1.0
-1.1618 5.1136 -0.9998
-2.0795 0.4841 4.8928
3.2141 4.2706 3.8558
Co Se Cl
4 2 2
Direct
0.3750 0.3774 0.7500
0.6226 0.1250 0.2500
0.1274 0.6250 0.2500
0.8750 0.8726 0.7500
0.7500 0.2500 0.5000
0.0000 0.0000 0.0000
0.2500 0.7500 0.5000
0.5000 0.5000 0.0000
```


# 8
Material: Co3Se3Cl
Method: DFT, PBE
State: optimized geometry

Properties
formation energy without anion corrections = -0.10 eV per atom
space group = Cmcm (63)

Geometry as POSCAR:
```
Co3Se3Cl
1.0
-0.1239 -1.3744 -4.5803
5.3892 -5.9613 1.6418
-8.0411 -1.4720 0.6607
Cl Se Co
2 6 6
Direct
0.7500 0.3338 0.6662
0.2500 0.6662 0.3338
0.7502 0.8492 0.1501
0.2498 0.1508 0.8499
0.7499 0.3003 0.1502
0.2501 0.6997 0.8498
0.7499 0.8505 0.6997
0.2501 0.1495 0.3003
0.7501 0.6603 0.8301
0.7501 0.1690 0.3397
0.7498 0.1706 0.8302
0.2499 0.8310 0.6603
0.2502 0.8294 0.1698
0.2499 0.3397 0.1699
```


# 9
Material: Co2SeCl
Method: DFT, PBE
State: optimized geometry

Properties
energy above the most stable polymorph in this dataset = 94.12 kJ/mol of atoms
formation energy without anion corrections = 0.84 eV per atom
space group = F-43m (216)

Geometry as POSCAR:
```
Co2SeCl
1.0
4.4522 0.0000 0.0000
2.2261 3.8557 0.0000
2.2261 1.2852 3.6352
Se Co Cl
1 2 1
Direct
0.7500 0.7500 0.7500
0.2500 0.2500 0.2500
0.0000 0.0000 0.0000
0.5000 0.5000 0.5000
```


# 10
Material: Co2SeCl
Method: DFT, PBE
State: optimized geometry

Properties
energy above the most stable polymorph in this dataset = 46.10 kJ/mol of atoms
formation energy without anion corrections = 0.34 eV per atom
space group = P4/mmm (123)

Geometry as POSCAR:
```
Co2SeCl
1.0
3.0745 0.0000 0.0000
0.0000 3.0745 0.0000
0.0000 0.0000 6.4340
Se Co Cl
1 2 1
Direct
0.5000 0.5000 0.2500
0.0000 0.0000 0.0461
0.0000 0.0000 0.4539
0.5000 0.5000 0.7500
```


# 11
Material: Co2SeCl
Method: DFT, PBE
State: optimized geometry

Properties
energy above the most stable polymorph in this dataset = 50.27 kJ/mol of atoms
formation energy without anion corrections = 0.39 eV per atom
space group = C2/m (12)

Geometry as POSCAR:
```
Co2SeCl
1.0
6.1026 -0.0116 -0.0238
-3.1477 3.8156 0.0197
-0.1929 1.4638 3.0096
Se Co Cl
1 2 1
Direct
0.0000 0.5000 0.5000
0.0000 0.0000 0.0000
0.5000 0.0000 0.5000
0.5000 0.5000 0.0000
```


# 12
Material: Co2SeCl
Method: DFT, PBE
State: optimized geometry

Properties
energy above the most stable polymorph in this dataset = 49.43 kJ/mol of atoms
formation energy without anion corrections = 0.38 eV per atom
space group = Pmmm (47)

Geometry as POSCAR:
```
Co2SeCl
1.0
-2.4492 1.0507 -2.3960
-1.3101 -5.8369 -1.2204
-2.2550 0.0222 2.3148
Co Cl Se
2 1 1
Direct
0.5000 0.5000 0.0000
0.0000 0.0000 0.0000
0.0000 0.5000 0.5000
0.5000 0.0000 0.5000
```


# 13
Material: Co2SeCl
Method: DFT, PBE
State: optimized geometry

Properties
energy above the most stable polymorph in this dataset = 58.88 kJ/mol of atoms
formation energy without anion corrections = 0.47 eV per atom
space group = Fm-3m (225)

Geometry as POSCAR:
```
Co2SeCl
1.0
-2.1678 0.0495 3.6724
-4.2008 -0.7355 0.0065
-1.5257 -3.6360 1.6247
Co Se Cl
2 1 1
Direct
0.7500 0.7500 0.7500
0.2500 0.2500 0.2500
0.5000 0.5000 0.5000
0.0000 0.0000 0.0000
```


# 14
Material: Co2SeCl
Method: DFT, PBE
State: optimized geometry

Properties
energy above the most stable polymorph in this dataset = 47.00 kJ/mol of atoms
formation energy without anion corrections = 0.35 eV per atom
space group = Immm (71)

Geometry as POSCAR:
```
Co2SeCl
1.0
-1.2882 -2.0661 -4.4633
0.6572 -4.6463 1.9568
-2.9830 4.1169 0.0465
Se Co Cl
1 2 1
Direct
0.7500 0.2500 0.5000
0.5037 0.5037 0.0000
0.9963 0.9963 0.0000
0.2500 0.7500 0.5000
```


# 15
Material: Co3SeCl
Method: DFT, PBE
State: optimized geometry

Properties
energy above the most stable polymorph in this dataset = 13.11 kJ/mol of atoms
formation energy without anion corrections = 0.82 eV per atom
space group = Pm-3m (221)

Geometry as POSCAR:
```
Co3SeCl
1.0
-3.7803 1.9546 0.0843
-1.6569 -3.2962 2.1232
1.0402 1.8528 3.6882
Se Co Cl
1 3 1
Direct
0.5000 0.5000 0.5000
0.0000 0.5000 0.0000
0.0000 0.0000 0.5000
0.5000 0.0000 0.0000
0.0000 0.0000 0.0000
```


# 16
Material: CoSe6Cl12
Method: DFT, PBE
State: optimized geometry

Properties
formation energy without anion corrections = -0.19 eV per atom
space group = R-3 (148)

Geometry as POSCAR:
```
CoSe6Cl12
1.0
1.9886 -7.5679 7.7683
6.0432 -0.3349 9.2165
-2.2104 -0.9158 10.7634
Cl Se Co
12 6 1
Direct
0.8353 0.8245 0.2124
0.6689 0.5946 0.1004
0.8996 0.3311 0.4054
0.1755 0.7876 0.1647
0.1004 0.6689 0.5946
0.8245 0.2124 0.8353
0.7876 0.1647 0.1755
0.2124 0.8353 0.8245
0.1647 0.1755 0.7876
0.4054 0.8996 0.3311
0.5946 0.1004 0.6689
0.3311 0.4054 0.8996
0.7291 0.5428 0.8980
0.5428 0.8980 0.7291
0.1020 0.2709 0.4572
0.4572 0.1020 0.2709
0.2709 0.4572 0.1020
0.8980 0.7291 0.5428
0.0000 0.0000 0.0000
```


# 17
Material: Co2SeCl
Method: DFT, PBE
State: optimized geometry

Properties
energy above the most stable polymorph in this dataset = 11.26 kJ/mol of atoms
formation energy without anion corrections = -0.02 eV per atom
space group = R3m (160)

Geometry as POSCAR:
```
Co2SeCl
1.0
7.2841 -0.0658 -0.0395
6.4230 3.4362 -0.0395
6.4230 1.5793 3.0520
Co Cl Se
2 1 1
Direct
0.9881 0.9881 0.9881
0.2507 0.2507 0.2507
0.7110 0.7110 0.7110
0.5502 0.5502 0.5502
```


# 18
Material: CoSe4Cl
Method: DFT, PBE
State: optimized geometry

Properties
energy above the most stable polymorph in this dataset = 2.49 kJ/mol of atoms
formation energy without anion corrections = -0.02 eV per atom
space group = C2/m (12)

Geometry as POSCAR:
```
CoSe4Cl
1.0
-2.3069 2.9229 4.9696
-5.9294 1.8722 -3.8536
-1.3285 -7.4968 5.3452
Cl Se Co
2 8 2
Direct
0.1502 0.8020 0.6041
0.8498 0.1980 0.3959
0.0000 0.3125 0.0000
0.4597 0.7948 0.1561
0.8147 0.3337 0.6675
0.1853 0.6663 0.3325
0.0000 0.6875 0.0000
0.5403 0.2052 0.8439
0.5403 0.6387 0.8439
0.4597 0.3613 0.1561
0.3013 0.4993 0.9986
0.6987 0.5007 0.0014
```


# 19
Material: Co2SeCl
Method: DFT, PBE
State: optimized geometry

Properties
energy above the most stable polymorph in this dataset = 0.00 kJ/mol of atoms
formation energy without anion corrections = -0.14 eV per atom
space group = Pm (6)

Geometry as POSCAR:
```
Co2SeCl
1.0
-2.5564 -0.3321 -2.5676
0.9961 -3.4568 -0.5446
-4.2172 -1.9514 4.4513
Cl Co Se
1 2 1
Direct
0.5000 0.8771 0.8882
0.5000 0.3749 0.1270
0.0000 0.8750 0.1270
0.0000 0.3729 0.3578
```


# 20
Material: Co2SeCl
Method: DFT, PBE
State: optimized geometry

Properties
energy above the most stable polymorph in this dataset = 2.70 kJ/mol of atoms
formation energy without anion corrections = -0.11 eV per atom
space group = Cm (8)

Geometry as POSCAR:
```
Co2SeCl
1.0
-1.8456 -2.4772 2.4033
-2.3926 -2.8667 -1.1731
5.0847 -4.5844 -0.2785
Co Cl Se
2 1 1
Direct
0.0998 0.0998 0.7950
0.7793 0.7793 0.9141
0.1887 0.1887 0.1282
0.4322 0.4322 0.6627
```


# 21
Material: Co2SeCl
Method: DFT, PBE
State: optimized geometry

Properties
energy above the most stable polymorph in this dataset = 25.93 kJ/mol of atoms
formation energy without anion corrections = 0.13 eV per atom
space group = Pmmm (47)

Geometry as POSCAR:
```
Co2SeCl
1.0
3.1467 0.0000 0.0000
0.0000 3.2235 0.0074
0.0000 -0.0092 6.2323
Se Co Cl
1 2 1
Direct
0.5000 0.2500 0.2500
0.0000 0.7494 0.4450
0.0000 0.7506 0.0550
0.5000 0.7500 0.7500
```


# 22
Material: Co2SeCl
Method: DFT, PBE
State: optimized geometry

Properties
energy above the most stable polymorph in this dataset = 13.50 kJ/mol of atoms
formation energy without anion corrections = 0.00 eV per atom
space group = P4mm (99)

Geometry as POSCAR:
```
Co2SeCl
1.0
3.2334 -0.0094 0.0000
0.0095 3.2335 0.0000
0.0000 0.0000 7.0826
Cl Co Se
1 2 1
Direct
0.5000 0.5000 0.8820
0.0000 0.0000 0.0393
0.5000 0.5000 0.2184
0.0000 0.0000 0.3602
```


# 23
Material: CoSe4Cl
Method: DFT, PBE
State: optimized geometry

Properties
energy above the most stable polymorph in this dataset = 0.00 kJ/mol of atoms
formation energy without anion corrections = -0.05 eV per atom
space group = C2/c (15)

Geometry as POSCAR:
```
CoSe4Cl
1.0
6.7641 0.5519 -1.1132
-1.9534 6.3073 -2.5741
0.1696 -0.2502 7.0809
Se Cl Co
8 2 2
Direct
0.5977 0.1713 0.2922
0.9670 0.1253 0.8106
0.5329 0.1893 0.8747
0.4022 0.8287 0.7078
0.9022 0.7078 0.8287
0.4671 0.8106 0.1253
0.0329 0.8747 0.1894
0.0977 0.2922 0.1713
0.7500 0.6178 0.3822
0.2500 0.3822 0.6178
0.7500 0.0006 0.9993
0.2500 0.9993 0.0007
```


# 24
Material: Co2SeCl
Method: DFT, PBE
State: optimized geometry

Properties
energy above the most stable polymorph in this dataset = 49.79 kJ/mol of atoms
formation energy without anion corrections = 0.38 eV per atom
space group = I-4m2 (119)

Geometry as POSCAR:
```
Co2SeCl
1.0
6.6991 -0.0012 0.0000
4.9736 4.4878 0.0000
-5.8363 -2.2433 2.4046
Se Co Cl
1 2 1
Direct
0.5000 0.5000 0.0000
0.2500 0.7500 0.5000
0.0000 0.0000 0.0000
0.7500 0.2500 0.5000
```


# 25
Material: CoSe3Cl
Method: DFT, PBE
State: optimized geometry

Properties
energy above the most stable polymorph in this dataset = 0.00 kJ/mol of atoms
formation energy without anion corrections = -0.21 eV per atom
space group = P2_1/m (11)

Geometry as POSCAR:
```
CoSe3Cl
1.0
-5.9453 1.2853 -2.0539
-3.0075 -1.5650 7.7231
2.7838 5.7573 -4.4521
Se Co Cl
6 2 2
Direct
0.7500 0.2228 0.3575
0.2500 0.7771 0.6425
0.2500 0.9085 0.1351
0.7500 0.6948 0.8410
0.7500 0.0916 0.8649
0.2500 0.3051 0.1590
0.0000 0.0000 0.0000
0.5000 0.0000 0.0000
0.2500 0.2334 0.6028
0.7500 0.7667 0.3972
```


# 26
Material: Co2Se2Cl
Method: DFT, PBE
State: optimized geometry

Properties
formation energy without anion corrections = -0.22 eV per atom
space group = I4/mmm (139)

Geometry as POSCAR:
```
Co2Se2Cl
1.0
-2.1635 -0.7678 2.5759
0.9115 -3.3204 -0.2241
5.9033 3.1710 3.5924
Co Se Cl
2 2 1
Direct
0.1551 0.1551 0.3103
0.8449 0.8449 0.6897
0.3181 0.3181 0.6363
0.6819 0.6819 0.3637
0.0000 0.0000 0.0000
```


# 27
Material: Sm4CoSeCl2
Method: DFT, PBE
State: optimized geometry

Properties
formation energy without anion corrections = -1.21 eV per atom
space group = P2/m (10)

Geometry as POSCAR:
```
Sm4CoSeCl2
1.0
3.9401 0.0000 0.0000
0.0000 7.3755 -0.2079
0.0000 2.5405 7.0106
Co Sm Cl Se
1 4 2 1
Direct
0.0000 0.5000 0.5000
0.5000 0.7051 0.2919
0.5000 0.2949 0.7081
0.0000 0.7212 0.7343
0.0000 0.2788 0.2657
0.5000 0.0000 0.5000
0.0000 0.0000 0.0000
0.5000 0.5000 0.0000
```


Number 1: total DFT energy (no corrections) -1.8770 eV/atom. Number 2: total DFT energy (no corrections) -4.5359 eV/atom. Number 3: total DFT energy (no corrections) -4.6466 eV/atom. Number 4: total DFT energy (no corrections) -2.5996 eV/atom. Number 5: total DFT energy (no corrections) -4.7752 eV/atom. Number 6: total DFT energy (no corrections) -4.7986 eV/atom. Number 7: total DFT energy (no corrections) -4.8654 eV/atom. Number 8: total DFT energy (no corrections) -4.9020 eV/atom. Number 9: total DFT energy (no corrections) -4.0460 eV/atom. Number 10: total DFT energy (no corrections) -4.5437 eV/atom. Number 11: total DFT energy (no corrections) -4.5005 eV/atom. Number 12: total DFT energy (no corrections) -4.5092 eV/atom. Number 13: total DFT energy (no corrections) -4.4113 eV/atom. Number 14: total DFT energy (no corrections) -4.5345 eV/atom. Number 15: total DFT energy (no corrections) -4.5108 eV/atom. Number 16: total DFT energy (no corrections) -2.8301 eV/atom. Number 17: total DFT energy (no corrections) -4.9049 eV/atom. Number 18: total DFT energy (no corrections) -3.8381 eV/atom. Number 19: total DFT energy (no corrections) -5.0215 eV/atom. Number 20: total DFT energy (no corrections) -4.9935 eV/atom. Number 21: total DFT energy (no corrections) -4.7527 eV/atom. Number 22: total DFT energy (no corrections) -4.8816 eV/atom. Number 23: total DFT energy (no corrections) -3.8639 eV/atom. Number 24: total DFT energy (no corrections) -4.5055 eV/atom. Number 25: total DFT energy (no corrections) -4.0894 eV/atom. Number 26: total DFT energy (no corrections) -4.8227 eV/atom. Number 27: total DFT energy (no corrections) -5.3547 eV/atom.